Compound: GdScGePd
Source: Alexandria via LeMat-Bulk
Functional: PBE
Structure: optimized geometry

Lattice parameters (Å, degrees): 6.9275 6.9275 6.9275 90.00 90.00 90.00
With the nearest neighbours (Å) after each atom.
Space group F-43m (No. 216)
Inequivalent atoms, fractional coordinates:
Gd1 0.0000 0.0000 0.0000 (multiplicity 4)  4 Ge 3.00, 4 Pd 3.00
Sc1 0.0000 0.0000 0.5000 (multiplicity 4)  4 Pd 3.00, 4 Ge 3.00
Ge1 0.2500 0.2500 0.7500 (multiplicity 4)  4 Gd 3.00, 4 Sc 3.00
Pd1 0.2500 0.2500 0.2500 (multiplicity 4)  4 Gd 3.00, 4 Sc 3.00

Properties
Crystal system: cubic
ΔE_f (eV per atom): -0.7703
VASP energy (eV/atom): -8.33
Calculated density (Mg/m³): 7.6

Compound: SrGdGePd
Source: Alexandria via LeMat-Bulk
Functional: PBE
Structure: optimized geometry

Lattice parameters (Å, degrees): 7.3373 7.3373 7.3373 90.00 90.00 90.00
With the nearest neighbours (Å) after each atom.
Space group F-43m (No. 216)
Inequivalent atoms, fractional coordinates:
Sr1 0.0000 0.0000 0.0000 (multiplicity 4)  4 Ge 3.18, 4 Pd 3.18
Gd1 0.0000 0.0000 0.5000 (multiplicity 4)  4 Ge 3.18, 4 Pd 3.18
Ge1 0.2500 0.2500 0.7500 (multiplicity 4)  4 Gd 3.18, 4 Sr 3.18
Pd1 0.2500 0.2500 0.2500 (multiplicity 4)  4 Gd 3.18, 4 Sr 3.18

Properties
Crystal system: cubic
ΔE_f (eV per atom): -0.5983
VASP energy (eV/atom): -6.99
Calculated density (Mg/m³): 7.1

Compound: GdThGePd
Source: Alexandria via LeMat-Bulk
Functional: PBE
Structure: optimized geometry

Lattice parameters (Å, degrees): 7.2488 7.2488 7.2488 90.00 90.00 90.00
With the nearest neighbours (Å) after each atom.
Space group F-43m (No. 216)
Inequivalent atoms, fractional coordinates:
Gd1 0.0000 0.0000 0.0000 (multiplicity 4)  4 Pd 3.14, 4 Ge 3.14
Th1 0.0000 0.0000 0.5000 (multiplicity 4)  4 Ge 3.14, 4 Pd 3.14
Ge1 0.2500 0.2500 0.7500 (multiplicity 4)  4 Gd 3.14, 4 Th 3.14
Pd1 0.2500 0.2500 0.2500 (multiplicity 4)  4 Th 3.14, 4 Gd 3.14

Properties
Crystal system: cubic
ΔE_f (eV per atom): -0.6609
VASP energy (eV/atom): -8.49
Calculated density (Mg/m³): 9.9